Entry 1:
# Nd5Zn4Ir, optimized geometry, DFT GGA-PBE
# V	246	Å³/cell
# symmetry	P4/mmm, No. 123
# calculated density	7.93	g/cm³
# Fermi-level density of states	0.92	states/eV/atom
# magnetization	0.01	μB/f.u.
# energy of formation from the pure elements	-0.368	eV per atom
data_Nd5Zn4Ir
_chemical_formula_sum 'Nd5 Zn4 Ir1'
_cell_length_a 3.661
_cell_length_b 3.661
_cell_length_c 18.366
_cell_angle_alpha 90.00
_cell_angle_beta 90.00
_cell_angle_gamma 90.00
_symmetry_space_group_name_H-M 'P 1'
_symmetry_Int_Tables_number 1
loop_
_symmetry_equiv_pos_as_xyz
'x,y,z'
loop_
_atom_site_label
_atom_site_type_symbol
_atom_site_fract_x
_atom_site_fract_y
_atom_site_fract_z
_atom_site_occupancy
Nd1 Nd 0.000 0.000 0.000 1
Nd2 Nd 0.000 0.000 0.202 1
Nd3 Nd 0.000 0.000 0.409 1
Nd4 Nd 0.000 0.000 0.591 1
Nd5 Nd 0.000 0.000 0.798 1
Zn1 Zn 0.500 0.500 0.101 1
Zn2 Zn 0.500 0.500 0.301 1
Zn3 Zn 0.500 0.500 0.699 1
Zn4 Zn 0.500 0.500 0.899 1
Ir1 Ir 0.500 0.500 0.500 1


Entry 2:
# FeNi2H, optimized geometry, DFT GGA-PBE
# V	36	Å³/cell
# symmetry	P-6m2, No. 187
# calculated density	8.01	g/cm³
# Fermi-level density of states	0.77	states/eV/atom
# magnetization	3.44	μB/f.u.
# ΔE to the lowest computed polymorph	68	meV per atom
data_FeNi2H
_chemical_formula_sum 'Fe1 Ni2 H1'
_cell_length_a 2.523
_cell_length_b 2.523
_cell_length_c 6.549
_cell_angle_alpha 90.00
_cell_angle_beta 90.00
_cell_angle_gamma 120.00
_symmetry_space_group_name_H-M 'P 1'
_symmetry_Int_Tables_number 1
loop_
_symmetry_equiv_pos_as_xyz
'x,y,z'
loop_
_atom_site_label
_atom_site_type_symbol
_atom_site_fract_x
_atom_site_fract_y
_atom_site_fract_z
_atom_site_occupancy
Fe1 Fe 0.000 0.000 0.000 1
Ni1 Ni 0.667 0.333 0.311 1
Ni2 Ni 0.667 0.333 0.689 1
H1 H 0.333 0.667 0.500 1


Entry 3:
# UTi2Sb, optimized geometry, DFT GGA-PBE
# V	306	Å³/cell
# symmetry	Fm-3m, No. 225
# calculated density	9.87	g/cm³
# E_form (uncorrected)	-0.068	eV/atom
# Fermi-level density of states	1.84	states/eV/atom
# magnetization	2.22	μB/f.u.
# ΔE to the lowest computed polymorph	110	meV per atom
data_UTi2Sb
_chemical_formula_sum 'U4 Ti8 Sb4'
_cell_length_a 6.742
_cell_length_b 6.742
_cell_length_c 6.742
_cell_angle_alpha 90.00
_cell_angle_beta 90.00
_cell_angle_gamma 90.00
_symmetry_space_group_name_H-M 'P 1'
_symmetry_Int_Tables_number 1
loop_
_symmetry_equiv_pos_as_xyz
'x,y,z'
loop_
_atom_site_label
_atom_site_type_symbol
_atom_site_fract_x
_atom_site_fract_y
_atom_site_fract_z
_atom_site_occupancy
U1 U 0.000 0.000 0.000 1
U2 U 0.000 0.500 0.500 1
U3 U 0.500 0.000 0.500 1
U4 U 0.500 0.500 0.000 1
Ti1 Ti 0.250 0.250 0.250 1
Ti2 Ti 0.250 0.250 0.750 1
Ti3 Ti 0.250 0.750 0.250 1
Ti4 Ti 0.250 0.750 0.750 1
Ti5 Ti 0.750 0.250 0.250 1
Ti6 Ti 0.750 0.250 0.750 1
Ti7 Ti 0.750 0.750 0.250 1
Ti8 Ti 0.750 0.750 0.750 1
Sb1 Sb 0.000 0.000 0.500 1
Sb2 Sb 0.000 0.500 0.000 1
Sb3 Sb 0.500 0.000 0.000 1
Sb4 Sb 0.500 0.500 0.500 1


Entry 4:
# Hf2CuP, optimized geometry, DFT GGA-PBE
# V	218	Å³/cell
# symmetry	R-3m, No. 166
# calculated density	10.33	g/cm³
# Fermi-level density of states	0.29	states/eV/atom
# magnetization	0.00	μB/f.u.
# energy of formation from the pure elements	-0.623	eV per atom
data_Hf2CuP
_chemical_formula_sum 'Hf6 Cu3 P3'
_cell_length_a 3.593
_cell_length_b 3.593
_cell_length_c 19.479
_cell_angle_alpha 90.00
_cell_angle_beta 90.00
_cell_angle_gamma 120.00
_symmetry_space_group_name_H-M 'P 1'
_symmetry_Int_Tables_number 1
loop_
_symmetry_equiv_pos_as_xyz
'x,y,z'
loop_
_atom_site_label
_atom_site_type_symbol
_atom_site_fract_x
_atom_site_fract_y
_atom_site_fract_z
_atom_site_occupancy
Hf1 Hf 0.000 0.000 0.245 1
Hf2 Hf 0.000 0.000 0.755 1
Hf3 Hf 0.333 0.667 0.422 1
Hf4 Hf 0.333 0.667 0.911 1
Hf5 Hf 0.667 0.333 0.089 1
Hf6 Hf 0.667 0.333 0.578 1
Cu1 Cu 0.000 0.000 0.000 1
Cu2 Cu 0.333 0.667 0.667 1
Cu3 Cu 0.667 0.333 0.333 1
P1 P 0.000 0.000 0.500 1
P2 P 0.333 0.667 0.167 1
P3 P 0.667 0.333 0.833 1


Entry 5:
# TbEr8Tm6, optimized geometry, DFT GGA-PBE
# V	476	Å³/cell
# symmetry	P-3, No. 147
# calculated density	8.75	g/cm³
# Fermi-level density of states	1.46	states/eV/atom
# magnetization	0.00	μB/f.u.
# energy of formation from the pure elements	0.244	eV per atom
# ΔE to the lowest computed polymorph	108	meV per atom
data_TbEr8Tm6
_chemical_formula_sum 'Tb1 Er8 Tm6'
_cell_length_a 9.260
_cell_length_b 9.260
_cell_length_c 6.417
_cell_angle_alpha 90.00
_cell_angle_beta 90.00
_cell_angle_gamma 120.00
_symmetry_space_group_name_H-M 'P 1'
_symmetry_Int_Tables_number 1
loop_
_symmetry_equiv_pos_as_xyz
'x,y,z'
loop_
_atom_site_label
_atom_site_type_symbol
_atom_site_fract_x
_atom_site_fract_y
_atom_site_fract_z
_atom_site_occupancy
Tb1 Tb 0.000 0.000 0.000 1
Er1 Er 0.025 0.687 0.597 1
Er2 Er 0.313 0.338 0.597 1
Er3 Er 0.333 0.667 0.329 1
Er4 Er 0.338 0.025 0.403 1
Er5 Er 0.662 0.975 0.597 1
Er6 Er 0.667 0.333 0.671 1
Er7 Er 0.687 0.662 0.403 1
Er8 Er 0.975 0.313 0.403 1
Tm1 Tm 0.095 0.415 0.908 1
Tm2 Tm 0.320 0.905 0.908 1
Tm3 Tm 0.415 0.320 0.092 1
Tm4 Tm 0.585 0.680 0.908 1
Tm5 Tm 0.680 0.095 0.092 1
Tm6 Tm 0.905 0.585 0.092 1


Entry 6:
# TaNb2GeCl, optimized geometry, DFT GGA-PBE
# V	115	Å³/cell
# symmetry	P4/mmm, No. 123
# calculated density	6.87	g/cm³
# E_form (uncorrected)	1.322	eV/atom
# Fermi-level density of states	1.96	states/eV/atom
# magnetization	0.04	μB/f.u.
# ΔE to the lowest computed polymorph	95	meV per atom
data_TaNb2GeCl
_chemical_formula_sum 'Ta1 Nb2 Ge1 Cl1'
_cell_length_a 4.885
_cell_length_b 4.885
_cell_length_c 4.811
_cell_angle_alpha 90.00
_cell_angle_beta 90.00
_cell_angle_gamma 90.00
_symmetry_space_group_name_H-M 'P 1'
_symmetry_Int_Tables_number 1
loop_
_symmetry_equiv_pos_as_xyz
'x,y,z'
loop_
_atom_site_label
_atom_site_type_symbol
_atom_site_fract_x
_atom_site_fract_y
_atom_site_fract_z
_atom_site_occupancy
Ta1 Ta 0.000 0.000 0.000 1
Nb1 Nb 0.000 0.500 0.500 1
Nb2 Nb 0.500 0.000 0.500 1
Ge1 Ge 0.000 0.000 0.500 1
Cl1 Cl 0.500 0.500 0.000 1


Entry 7:
# Na3In9Cu2, optimized geometry, DFT GGA-PBE
# V	346	Å³/cell
# symmetry	Immm, No. 71
# calculated density	5.89	g/cm³
# Fermi-level density of states	0.39	states/eV/atom
# magnetization	0.00	μB/f.u.
# energy of formation from the pure elements	-0.025	eV per atom
data_Na3In9Cu2
_chemical_formula_sum 'Na3 In9 Cu2'
_cell_length_a 9.027
_cell_length_b 9.027
_cell_length_c 9.027
_cell_angle_alpha 150.48
_cell_angle_beta 101.85
_cell_angle_gamma 85.66
_symmetry_space_group_name_H-M 'P 1'
_symmetry_Int_Tables_number 1
loop_
_symmetry_equiv_pos_as_xyz
'x,y,z'
loop_
_atom_site_label
_atom_site_type_symbol
_atom_site_fract_x
_atom_site_fract_y
_atom_site_fract_z
_atom_site_occupancy
Na1 Na 0.000 0.000 0.000 1
Na2 Na 0.303 0.303 0.000 1
Na3 Na 0.697 0.697 0.000 1
In1 In 0.008 0.639 0.369 1
In2 In 0.156 0.862 0.294 1
In3 In 0.269 0.639 0.631 1
In4 In 0.432 0.138 0.294 1
In5 In 0.500 0.000 0.500 1
In6 In 0.568 0.862 0.706 1
In7 In 0.731 0.361 0.369 1
In8 In 0.844 0.138 0.706 1
In9 In 0.992 0.361 0.631 1
Cu1 Cu 0.317 0.500 0.817 1
Cu2 Cu 0.683 0.500 0.183 1